Nd2Zn15Hg2: optimized geometry, PBE.

E_tot, eV per atom: -1.76
V, Å³ per cell: 329.3
Total magnetization, μB per cell: 0.00
Formation enthalpy at 0 K, kJ/mol of formula units: -404.3

a b c (Å): 6.9543 6.9543 6.9543
angles (deg): 82.98 82.98 82.98
Element x y z (fractional)
Zn  0.6990  0.0000  0.3010
Zn  0.1690  0.6468  0.6468
Zn  0.3532  0.8310  0.3532
Zn  0.0000  0.3010  0.6990
Zn  0.5000  0.0000  0.0000
Zn  0.3010  0.0000  0.6990
Zn  0.0000  0.5000  0.0000
Zn  0.6468  0.1690  0.6468
Zn  0.3532  0.3532  0.8310
Zn  0.0000  0.0000  0.5000
Zn  0.6468  0.6468  0.1690
Zn  0.3010  0.6990  0.0000
Zn  0.6990  0.3010  0.0000
Zn  0.8310  0.3532  0.3532
Zn  0.0000  0.6990  0.3010
Nd  0.3408  0.3408  0.3408
Nd  0.6592  0.6592  0.6592
Hg  0.1071  0.1071  0.1071
Hg  0.8929  0.8929  0.8929